Entry 1:
The following is a DFT calculation (PBE) of a relaxed structure of Ba2Na3PuO6.

Properties
DFT total energy: -0.24209 Ha/atom
V: 211.4 Å³/cell
Uncorrected formation energy: -2.26 eV/atom

```
12
Lattice="-4.925 3.082 -3.229 1.667 -6.309 -1.263 -2.668 -0.760 5.316" Properties=species:S:1:pos:R:3 pbc="T T T"
Na -5.414 1.498 -0.319
Na -0.512 -5.485 1.143
Na -2.963 -1.994 0.412
O -0.373 -2.067 0.534
O -2.124 0.428 0.012
O -3.801 -4.415 0.812
O -3.094 -2.670 -2.381
O -5.552 -1.921 0.290
O -2.832 -1.317 3.204
Ba -0.509 -3.209 -1.912
Ba -2.749 -0.019 -2.580
Pu 0.000 0.000 0.000
```

=====

Entry 2:
The following is a DFT calculation (PBE) of a relaxed structure of Mg2TaHgSb.

Properties
DFT total energy: -0.11769 Ha/atom
V: 167.5 Å³/cell
Uncorrected formation energy: 0.69 eV/atom

```
5
Lattice="5.644 0.000 0.000 0.000 5.257 0.000 0.000 0.000 5.644" Properties=species:S:1:pos:R:3 pbc="T T T"
Mg 0.000 0.000 2.822
Mg 2.822 0.000 0.000
Hg 2.822 2.628 2.822
Sb 0.000 2.628 0.000
Ta 0.000 0.000 0.000
```

=====

Entry 3:
The following is a DFT calculation (PBE) of a relaxed structure of PuBeGe.

Properties
Formation enthalpy at 0 K: -0.219 eV per atom
DFT total energy: -0.28583 Ha/atom
V: 109.2 Å³/cell

```
6
Lattice="-2.261 -0.965 2.912 4.119 -1.704 2.633 1.089 5.818 0.280" Properties=species:S:1:pos:R:3 pbc="T T T"
Pu 1.249 0.520 1.142
Pu 1.697 2.630 4.683
Be 3.561 0.928 3.072
Be -0.614 2.221 2.753
Ge 0.867 3.695 1.898
Ge 2.080 -0.545 3.927
```

=====

Entry 4:
The following is a DFT calculation (PBE) of a relaxed structure of CuHgPd4.

Properties
Formation enthalpy at 0 K: -0.076 eV per atom
DFT total energy: -0.15694 Ha/atom
V: 189.6 Å³/cell

```
12
Lattice="4.051 -0.009 -1.047 -0.283 4.019 -1.129 0.726 1.006 11.157" Properties=species:S:1:pos:R:3 pbc="T T T"
Pd 1.727 4.081 2.466
Pd 1.189 1.456 8.766
Pd 3.073 3.461 7.678
Pd 3.305 3.560 0.215
Pd 3.894 2.067 2.507
Pd 2.767 0.935 6.515
Pd 1.421 1.555 1.303
Pd 0.600 2.949 6.474
Cu 0.363 0.503 5.578
Cu 2.247 2.508 4.490
Hg 3.693 2.004 10.089
Hg 0.801 3.012 -1.108
```

=====

Entry 5:
The following is a DFT calculation (PBE) of a relaxed structure of TeIrRh2.

Properties
DFT total energy: -0.23641 Ha/atom
V: 65.2 Å³/cell
Uncorrected formation energy: 0.24 eV/atom

```
4
Lattice="-1.492 2.302 4.748 1.492 -2.302 4.748 1.492 2.302 -4.748" Properties=species:S:1:pos:R:3 pbc="T T T"
Rh 0.000 0.000 0.045
Rh 0.000 2.302 2.200
Ir 1.492 0.000 2.524
Te 0.000 0.000 4.727
```

=====

Entry 6:
The following is a DFT calculation (PBE) of a relaxed structure of La3TbTl2.

Properties
Formation enthalpy at 0 K: -0.265 eV per atom
DFT total energy: -0.15761 Ha/atom
V: 402.9 Å³/cell

```
12
Lattice="-2.066 5.917 -2.758 -3.856 1.215 5.494 9.583 0.495 2.382" Properties=species:S:1:pos:R:3 pbc="T T T"
La -1.997 3.262 -0.005
La 2.864 1.742 5.859
La 3.754 4.106 1.727
La -0.093 3.521 3.391
La 0.797 5.884 -0.741
La -3.925 3.869 2.742
Tb -2.892 0.911 4.121
Tb -0.964 0.304 1.374
Tl 2.389 5.116 4.779
Tl 5.388 1.441 3.462
Tl 1.273 2.510 0.338
Tl -1.726 6.185 1.655
```

=====

Entry 7:
The following is a DFT calculation (PBE) of a relaxed structure of LaDy3Y8.

Properties
Formation enthalpy at 0 K: 0.011 eV per atom
DFT total energy: -0.21535 Ha/atom
V: 395.1 Å³/cell

```
12
Lattice="0.111 7.727 3.567 -5.839 -5.026 -3.610 1.174 -4.823 6.918" Properties=species:S:1:pos:R:3 pbc="T T T"
Dy -4.023 -1.131 0.813
Dy -0.503 -0.997 6.067
Dy -3.303 -4.468 1.644
Y -0.966 -2.007 2.577
Y -1.278 4.762 2.664
Y -3.275 -6.881 4.216
Y -0.099 2.375 6.952
Y -0.517 1.424 3.512
Y -3.608 2.286 1.728
Y -2.862 -3.509 5.132
Y -3.588 -0.117 4.302
La 0.206 -4.369 6.910
```

=====

Entry 8:
The following is a DFT calculation (PBE) of a relaxed structure of Ca3Au2.

Properties
Formation enthalpy at 0 K: -0.650 eV per atom
DFT total energy: -0.11621 Ha/atom
V: 139.1 Å³/cell

```
5
Lattice="4.500 0.000 0.000 2.250 5.663 -0.082 2.250 1.586 5.437" Properties=species:S:1:pos:R:3 pbc="T T T"
Ca 0.000 0.000 0.000
Ca 6.750 5.066 3.743
Ca 2.250 2.182 1.612
Au 4.500 4.477 1.523
Au 4.500 2.771 3.832
```

=====

Entry 9:
The following is a DFT calculation (PBE) of a relaxed structure of Ni7Pt2W.

Properties
Formation enthalpy at 0 K: 0.458 eV per atom
DFT total energy: -0.22389 Ha/atom
V: 153.4 Å³/cell

```
10
Lattice="3.624 0.000 0.000 0.000 7.040 1.738 0.000 2.777 6.699" Properties=species:S:1:pos:R:3 pbc="T T T"
W 0.000 0.000 0.000
Ni 1.812 2.596 4.960
Ni 0.000 1.842 1.583
Ni 1.812 4.909 4.218
Ni 1.812 7.222 3.477
Ni 3.624 7.975 6.853
Ni 1.812 5.294 1.820
Ni 1.812 4.524 6.617
Pt 1.812 6.813 5.855
Pt 1.812 3.004 2.582
```

=====

Entry 10:
The following is a DFT calculation (PBE) of a relaxed structure of VWAu2.

Properties
Formation enthalpy at 0 K: 0.780 eV per atom
DFT total energy: -0.23435 Ha/atom
V: 141.7 Å³/cell

```
8
Lattice="-5.735 -2.835 3.550 -1.804 -3.826 -5.970 -2.261 -5.340 -0.378" Properties=species:S:1:pos:R:3 pbc="T T T"
Au -8.279 -9.807 -2.358
Au -4.535 -6.530 -1.233
Au -4.334 -3.565 1.353
Au -2.450 -4.101 -3.357
V -3.769 -3.331 -1.210
V -3.917 -6.249 -3.778
W -5.882 -5.753 0.982
W 0.000 0.000 0.000
```

=====

Entry 11:
The following is a DFT calculation (PBE) of a relaxed structure of Al2Zn2Ag.

Properties
Formation enthalpy at 0 K: 0.124 eV per atom
DFT total energy: -0.09015 Ha/atom
V: 172.3 Å³/cell

```
10
Lattice="6.763 0.000 0.000 0.000 6.763 0.000 0.000 0.000 3.767" Properties=species:S:1:pos:R:3 pbc="T T T"
Al 1.111 4.492 1.884
Al 2.271 1.111 1.884
Al 4.492 5.652 1.884
Al 5.652 2.271 1.884
Ag 3.381 3.381 0.000
Ag 0.000 0.000 0.000
Zn 4.286 0.905 0.000
Zn 5.858 4.286 0.000
Zn 2.477 5.858 0.000
Zn 0.905 2.477 0.000
```

=====

Entry 12:
The following is a DFT calculation (PBE) of a relaxed structure of InSbRu2.

Properties
DFT total energy: -0.23376 Ha/atom
V: 68.1 Å³/cell
Uncorrected formation energy: -0.01 eV/atom

```
4
Lattice="-1.369 1.045 2.731 -1.351 -2.901 0.433 5.250 -1.941 3.374" Properties=species:S:1:pos:R:3 pbc="T T T"
Ru 2.563 -0.948 1.647
Ru 0.062 -0.023 0.040
In 2.578 -2.384 4.112
Sb -0.047 -1.413 2.425
```

=====

Number 1: M_tot 3.00 Bohr magnetons per cell. Number 2: M_tot 1.88 Bohr magnetons per cell. Number 3: M_tot 11.71 Bohr magnetons per cell. Number 4: M_tot 0.00 Bohr magnetons per cell. Number 5: M_tot 0.00 Bohr magnetons per cell. Number 6: M_tot 2.23 Bohr magnetons per cell. Number 7: M_tot 0.00 Bohr magnetons per cell. Number 8: M_tot 0.00 Bohr magnetons per cell. Number 9: M_tot 1.68 Bohr magnetons per cell. Number 10: M_tot 1.30 Bohr magnetons per cell. Number 11: M_tot 0.00 Bohr magnetons per cell. Number 12: M_tot 0.00 Bohr magnetons per cell.